Record 1
Here is a PBEsol-optimized structure of CoRh3F from the Alexandria database. Energies are from SCAN.

- Fermi-level density of states (states/eV per cell) = 3.8
- V (A^3/atom) = 13.888
- formation energy without anion corrections (meV/atom) = 749

Cell lengths 4.110, 4.110, 4.110 Å; angles 90.00, 90.00, 90.00 degrees
Space group Pm-3m (No. 221)
One atom of each set of equivalent atoms:
Co 0.000 0.000 0.000 [1 per cell]
Rh 0.000 0.500 0.500 [3 per cell]
F 0.500 0.500 0.500 [1 per cell]

***

Record 2
Here is a PBEsol-optimized structure of CoRu2F from the Alexandria database. Energies are from SCAN.

- Fermi-level density of states (states/eV per cell) = 16.7
- V (A^3/atom) = 11.416
- formation energy without anion corrections (meV/atom) = 382

Cell lengths 5.674, 5.674, 5.674 Å; angles 90.00, 90.00, 90.00 degrees
Space group Fm-3m (No. 225)
One atom of each set of equivalent atoms:
Co 0.000 0.000 0.000 [4 per cell]
Ru 0.250 0.250 0.250 [8 per cell]
F 0.000 0.000 0.500 [4 per cell]

***

Record 3
Here is a PBEsol-optimized structure of CoSb3F from the Alexandria database. Energies are from SCAN.

- Fermi-level density of states (states/eV per cell) = 7.5
- V (A^3/atom) = 22.285
- formation energy without anion corrections (meV/atom) = 60

Cell lengths 4.812, 4.812, 4.812 Å; angles 90.00, 90.00, 90.00 degrees
Space group Pm-3m (No. 221)
One atom of each set of equivalent atoms:
Co 0.000 0.000 0.000 [1 per cell]
Sb 0.000 0.000 0.500 [3 per cell]
F 0.500 0.500 0.500 [1 per cell]

***

Record 4
Here is a PBEsol-optimized structure of CoSbF6 from the Alexandria database. Energies are from SCAN.

- Fermi-level density of states (states/eV per cell) = 0.0
- V (A^3/atom) = 13.751
- formation energy without anion corrections (meV/atom) = -2232

Cell lengths 5.2468, 5.2468, 13.8427 Å; angles 90.00, 90.00, 120.00 degrees
Space group R-3 (No. 148, hexagonal axes)
One atom of each set of equivalent atoms:
Co 0.0000 0.0000 0.0000 [3 per cell]
Sb 0.0000 0.0000 0.5000 [3 per cell]
F 0.0301 0.3974 0.7443 [18 per cell]

***

Record 5
Here is a PBEsol-optimized structure of CoSb3F from the Alexandria database. Energies are from SCAN.

- Fermi-level density of states (states/eV per cell) = 3.0
- V (A^3/atom) = 21.365
- formation energy without anion corrections (meV/atom) = 429

Cell lengths 4.745, 4.745, 4.745 Å; angles 90.00, 90.00, 90.00 degrees
Space group Pm-3m (No. 221)
One atom of each set of equivalent atoms:
Co 0.000 0.000 0.000 [1 per cell]
Sb 0.000 0.500 0.500 [3 per cell]
F 0.500 0.500 0.500 [1 per cell]

***

Record 6
Here is a PBEsol-optimized structure of ScCoF2 from the Alexandria database. Energies are from SCAN.

- Fermi-level density of states (states/eV per cell) = 18.8
- V (A^3/atom) = 11.529
- formation energy without anion corrections (meV/atom) = -1291

Cell lengths 5.693, 5.693, 5.693 Å; angles 90.00, 90.00, 90.00 degrees
Space group Fm-3m (No. 225)
One atom of each set of equivalent atoms:
Sc 0.000 0.000 0.000 [4 per cell]
Co 0.000 0.000 0.500 [4 per cell]
F 0.250 0.250 0.250 [8 per cell]

***

Record 7
Here is a PBEsol-optimized structure of ZrCo2SeF from the Alexandria database. Energies are from SCAN.

- Fermi-level density of states (states/eV per cell) = 2.6
- V (A^3/atom) = 15.378
- formation energy without anion corrections (meV/atom) = 74

Cell lengths 4.190, 4.190, 4.380 Å; angles 90.00, 90.00, 90.00 degrees
Space group P4/mmm (No. 123)
One atom of each set of equivalent atoms:
Zr 0.000 0.000 0.000 [1 per cell]
Co 0.000 0.500 0.500 [2 per cell]
Se 0.500 0.500 0.500 [1 per cell]
F 0.500 0.500 0.000 [1 per cell]

***

Record 8
Here is a PBEsol-optimized structure of CoSiF2 from the Alexandria database. Energies are from SCAN.

- Fermi-level density of states (states/eV per cell) = 15.0
- V (A^3/atom) = 11.413
- formation energy without anion corrections (meV/atom) = -206

Cell lengths 5.673, 5.673, 5.673 Å; angles 90.00, 90.00, 90.00 degrees
Space group Fm-3m (No. 225)
One atom of each set of equivalent atoms:
Co 0.000 0.000 0.000 [4 per cell]
Si 0.000 0.000 0.500 [4 per cell]
F 0.250 0.250 0.250 [8 per cell]

***

Record 9
Here is a PBEsol-optimized structure of CoSiF2 from the Alexandria database. Energies are from SCAN.

- Fermi-level density of states (states/eV per cell) = 6.3
- V (A^3/atom) = 15.189
- formation energy without anion corrections (meV/atom) = -570

Cell lengths 5.214, 5.214, 8.941 Å; angles 90.00, 90.00, 90.00 degrees
Space group I-42d (No. 122)
One atom of each set of equivalent atoms:
Co 0.000 0.000 0.000 [4 per cell]
Si 0.000 0.000 0.500 [4 per cell]
F 0.173 0.750 0.125 [8 per cell]

***

Record 10
Here is a PBEsol-optimized structure of CoSnF3 from the Alexandria database. Energies are from SCAN.

- Fermi-level density of states (states/eV per cell) = 5.1
- V (A^3/atom) = 13.494
- formation energy without anion corrections (meV/atom) = -1624

Cell lengths 4.071, 4.071, 4.071 Å; angles 90.00, 90.00, 90.00 degrees
Space group Pm-3m (No. 221)
One atom of each set of equivalent atoms:
Co 0.000 0.000 0.000 [1 per cell]
Sn 0.500 0.500 0.500 [1 per cell]
F 0.000 0.000 0.500 [3 per cell]

***

Record 11
Here is a PBEsol-optimized structure of Co2SnWF from the Alexandria database. Energies are from SCAN.

- Fermi-level density of states (states/eV per cell) = 2.8
- V (A^3/atom) = 16.884
- formation energy without anion corrections (meV/atom) = 1213

Cell lengths 4.644, 4.644, 3.914 Å; angles 90.00, 90.00, 90.00 degrees
Space group P4/mmm (No. 123)
One atom of each set of equivalent atoms:
Co 0.000 0.500 0.000 [2 per cell]
Sn 0.000 0.000 0.000 [1 per cell]
W 0.500 0.500 0.500 [1 per cell]
F 0.000 0.000 0.500 [1 per cell]

***

Record 12
Here is a PBEsol-optimized structure of Sr3CoF from the Alexandria database. Energies are from SCAN.

- Fermi-level density of states (states/eV per cell) = 4.6
- V (A^3/atom) = 33.830
- formation energy without anion corrections (meV/atom) = -160

Cell lengths 5.530, 5.530, 5.530 Å; angles 90.00, 90.00, 90.00 degrees
Space group Pm-3m (No. 221)
One atom of each set of equivalent atoms:
Sr 0.000 0.000 0.500 [3 per cell]
Co 0.000 0.000 0.000 [1 per cell]
F 0.500 0.500 0.500 [1 per cell]

***

Question: What is the formula in the third record?
Answer: CoSb3F

***

Question: What is the formula in the second record?
Answer: CoRu2F